No. 1
NbB | Alexandria via LeMat-Bulk | meta-GGA SCAN | PBEsol geometry; V = 45 Å³/cell; crystal system = orthorhombic; SG = Cmcm (63); final energy = -21.067 eV per atom; N(E_F) = 0.200 states/eV per atom
1.0
-1.558 -3.039 -3.167
3.894 2.371 0.949
1.020 -2.393 1.794
Nb B
2 2
direct
0.854 0.146 0.750
0.146 0.854 0.250
0.559 0.441 0.750
0.441 0.559 0.250

***

No. 2
TlPbCl2 | Alexandria via LeMat-Bulk | meta-GGA SCAN | PBEsol geometry; V = 99 Å³/cell; E_form (uncorrected) = -0.457 eV/atom; distance to the lowest polymorph of the same formula = 27.4 kJ/mol of atoms; crystal system = cubic; SG = F-43m (216); N(E_F) = 0.563 states/eV per atom
1.0
5.201 0.000 0.000
2.600 4.504 0.000
2.600 1.501 4.246
Pb Cl Tl
1 2 1
direct
0.500 0.500 0.500
0.750 0.750 0.750
0.000 0.000 0.000
0.250 0.250 0.250

***

No. 3
KReN2F | Alexandria via LeMat-Bulk | meta-GGA SCAN | PBEsol geometry; V = 74 Å³/cell; E_form (uncorrected) = 2.490 eV/atom; crystal system = tetragonal; SG = P4/mmm (123); N(E_F) = 0.164 states/eV per atom
1.0
-1.951 -2.780 2.451
1.330 -3.130 -2.491
3.485 -0.382 2.341
N K Re F
2 1 1 1
direct
0.000 0.500 0.000
0.000 0.000 0.500
0.000 0.000 0.000
0.500 0.500 0.500
0.500 0.000 0.000